Computed, not measured: crystalline Li2CrHgP at its relaxed geometry at the GGA-PBE level of DFT.

Cell: 4.6766 4.5560 4.6766 Å, 90.00 90.00 90.00°
Closest atoms and distances in Å follow each position.
Positions (direct):
P 0.0000 0.0000 0.0000  2 Cr 2.28, 4 Li 2.34
Hg 0.5000 0.5000 0.5000  8 Li 3.26, 4 Cr 3.31
Li 0.0000 0.0000 0.5000  2 P 2.34
Li 0.5000 0.0000 0.0000  2 P 2.34
Cr 0.0000 0.5000 0.0000  2 P 2.28

Values from the calculation:
The value obtained for the calculated density is 4957 kg/m3. As for the symmetry: P4/mmm, No. 123. The total energy comes out at -3.943 eV/atom. The formation energy is -110 meV per atom.

=====

Computed, not measured: crystalline LiCrHgRh2 at its relaxed geometry at the GGA-PBE level of DFT.

Cell: 4.9678 4.2681 4.9678 Å, 90.00 90.00 90.00°
Closest atoms and distances in Å follow each position.
Positions (direct):
Li 0.0000 0.5000 0.0000  2 Hg 2.13
Cr 0.5000 0.5000 0.5000  8 Rh 3.27, 4 Li 3.51
Rh 0.0000 0.0000 0.5000  2 Hg 2.48
Rh 0.5000 0.0000 0.0000  2 Hg 2.48
Hg 0.0000 0.0000 0.0000  2 Li 2.13

Values from the calculation:
The value obtained for the calculated density is 7336 kg/m3. As for the symmetry: P4/mmm, No. 123. The total energy comes out at -3.748 eV/atom. The formation energy is 1561 meV per atom.

=====

Computed, not measured: crystalline Li2CrHgRu at its relaxed geometry at the GGA-PBE level of DFT.

Cell: 4.4475 5.1497 4.4475 Å, 90.00 90.00 90.00°
Closest atoms and distances in Å follow each position.
Positions (direct):
Cr 0.5000 0.5000 0.5000  4 Hg 3.14, 8 Li 3.40
Li 0.5000 0.0000 0.0000  2 Ru 2.22
Li 0.0000 0.0000 0.5000  2 Ru 2.22
Ru 0.0000 0.0000 0.0000  4 Li 2.22
Hg 0.0000 0.5000 0.0000  2 Ru 2.57

Values from the calculation:
The value obtained for the calculated density is 5992 kg/m3. As for the symmetry: P4/mmm, No. 123. The total energy comes out at -3.180 eV/atom. The formation energy is 1426 meV per atom.

=====

Computed, not measured: crystalline LiCrHgSb at its relaxed geometry at the GGA-PBE level of DFT.

Cell: 4.8316 4.8316 4.8316 Å, 60.00 60.00 60.00°
Closest atoms and distances in Å follow each position.
Positions (direct):
Sb 0.0000 0.0000 0.0000  4 Cr 2.96, 4 Li 2.96
Li 0.7500 0.7500 0.7500  4 Sb 2.96, 4 Hg 2.96
Hg 0.5000 0.5000 0.5000  4 Li 2.96, 4 Cr 2.96
Cr 0.2500 0.2500 0.2500  4 Hg 2.96, 4 Sb 2.96

Values from the calculation:
The value obtained for the calculated density is 7939 kg/m3. As for the symmetry: F-43m, No. 216. The formation energy (no corrections) is -0.92 kcal/mol of atoms. The total energy comes out at -4.030 eV/atom.

=====

Computed, not measured: crystalline LiCrSnHg at its relaxed geometry at the GGA-PBE level of DFT.

Cell: 4.7388 4.7388 4.7388 Å, 60.00 60.00 60.00°
Closest atoms and distances in Å follow each position.
Positions (direct):
Li 0.5000 0.5000 0.5000  4 Sn 2.90, 4 Hg 2.90
Cr 0.0000 0.0000 0.0000  4 Hg 2.90, 4 Sn 2.90
Hg 0.7500 0.7500 0.7500  4 Cr 2.90, 4 Li 2.90
Sn 0.2500 0.2500 0.2500  4 Cr 2.90, 4 Li 2.90

Values from the calculation:
The value obtained for the calculated density is 8347 kg/m3. As for the symmetry: F-43m, No. 216. The total energy comes out at -3.980 eV/atom. The formation energy is -20 meV per atom.

=====

Computed, not measured: crystalline LiTiCr2Hg at its relaxed geometry at the GGA-PBE level of DFT.

Cell: 5.0761 4.5289 5.0761 Å, 90.00 90.00 90.00°
Closest atoms and distances in Å follow each position.
Positions (direct):
Hg 0.0000 0.0000 0.0000  2 Li 2.26
Ti 0.5000 0.5000 0.5000  8 Cr 3.40, 4 Li 3.59
Li 0.0000 0.5000 0.0000  2 Hg 2.26
Cr 0.5000 0.0000 0.0000  2 Hg 2.54
Cr 0.0000 0.0000 0.5000  2 Hg 2.54

Values from the calculation:
The value obtained for the calculated density is 5114 kg/m3. As for the symmetry: P4/mmm, No. 123. The total energy comes out at -4.668 eV/atom. The formation energy is 1203 meV per atom.